# Pu5Tc2Rh

Pu5Tc2Rh after structural relaxation (PBE-GGA, the Alexandria database).

The structure in extended XYZ format:
```
16
Lattice="-3.7468 3.7468 5.1602 3.7468 -3.7468 5.1602 3.7468 3.7468 -5.1602" Properties=species:S:1:pos:R:3 pbc="T T T"
Pu 0.0000 0.0000 0.0000
Pu 2.6317 -1.1151 2.0223
Pu 4.8619 -1.1151 3.1378
Pu 4.8619 1.1151 2.0223
Pu 2.6317 1.1151 3.1378
Pu 0.0000 0.0000 5.1602
Pu 1.1151 2.6317 2.0223
Pu -1.1151 2.6317 3.1378
Pu -1.1151 4.8619 2.0223
Pu 1.1151 4.8619 3.1378
Tc 2.6824 1.0643 0.0000
Tc 2.6824 -1.0643 5.1602
Tc 1.0643 4.8111 0.0000
Tc 1.0643 2.6824 5.1602
Rh 0.0000 0.0000 2.5801
Rh 0.0000 0.0000 7.7403
```

N(E_F) = 2.50 states/eV per atom
Space group = No. 140
Magnetization = 8.6 μB per cell
Formation energy = 0.2082 eV/atom

***

# Pu6TcRh5

Pu6TcRh5 after structural relaxation (PBE-GGA, the Alexandria database).

The structure in extended XYZ format:
```
12
Lattice="4.8450 0.0000 0.0000 -0.0102 6.7773 0.0000 -2.4055 -3.3843 7.2738" Properties=species:S:1:pos:R:3 pbc="T T T"
Pu -2.4077 -1.7081 7.2737
Pu 4.8370 5.1011 0.0001
Pu 0.0117 -1.6989 4.8378
Pu 0.0064 1.7039 4.8374
Pu 2.4229 1.6891 2.4364
Pu 2.4176 5.0919 2.4360
Tc 2.4174 3.3887 0.0000
Rh -0.0018 3.3905 2.3262
Rh 0.0024 0.0031 2.4449
Rh 2.4225 0.0000 0.0000
Rh 2.4269 3.3899 4.8289
Rh 2.4311 0.0025 4.9475
```

N(E_F) = 3.72 states/eV per atom
Space group = No. 2
Magnetization = 28.3 μB per cell
Formation energy = -0.3428 eV/atom

***

# PuTiTcRh

PuTiTcRh after structural relaxation (PBE-GGA, the Alexandria database).

The structure in extended XYZ format:
```
4
Lattice="0.0000 3.2474 3.2474 3.2474 0.0000 3.2474 3.2474 3.2474 0.0000" Properties=species:S:1:pos:R:3 pbc="T T T"
Pu 0.0000 0.0000 0.0000
Ti 3.2474 3.2474 3.2474
Tc 4.8711 4.8711 4.8711
Rh 1.6237 1.6237 1.6237
```

N(E_F) = 1.26 states/eV per atom
Space group = No. 216
Magnetization = 4.5 μB per cell
Formation energy = -0.3423 eV/atom